Material: Ce2Pr3YAs6
Method: DFT, PBE-GGA
State: relaxed

Computed properties:
theoretical density	6.35	g/cm³
energy of formation from the pure elements	-1.49	eV per atom

The structure in CIF format:
```
data_Ce2Pr3YAs6
_chemical_formula_sum 'Ce4 Pr6 Y2 As12'
_cell_length_a 7.349
_cell_length_b 12.728
_cell_length_c 7.362
_cell_angle_alpha 90.00
_cell_angle_beta 109.44
_cell_angle_gamma 90.00
_space_group_name_H-M_alt 'C 1 2/m 1'
_space_group_IT_number 12
loop_
_space_group_symop_operation_xyz
'x,y,z'
'-x,-y,-z'
'-x,y,-z'
'x,-y,z'
'x+1/2,y+1/2,z'
'-x+1/2,-y+1/2,-z'
'-x+1/2,y+1/2,-z'
'x+1/2,-y+1/2,z'
loop_
_atom_site_label
_atom_site_type_symbol
_atom_site_fract_x
_atom_site_fract_y
_atom_site_fract_z
Ce1 Ce 0.000 0.167 0.000
Pr1 Pr 0.000 0.000 0.500
Pr2 Pr 0.000 0.333 0.500
Y1 Y 0.000 0.500 0.000
As1 As 0.246 0.334 0.240
As2 As 0.248 0.000 0.241
```


Material: TeH4Au
Method: DFT, PBE-GGA
State: relaxed

Computed properties:
theoretical density	6.98	g/cm³
total energy	-17.4	eV per formula unit

The structure in CIF format:
```
data_TeH4Au
_chemical_formula_sum 'Te4 H16 Au4'
_cell_length_a 5.817
_cell_length_b 17.044
_cell_length_c 4.271
_cell_angle_alpha 90.00
_cell_angle_beta 132.37
_cell_angle_gamma 90.00
_space_group_name_H-M_alt 'C 1 2/c 1'
_space_group_IT_number 15
loop_
_space_group_symop_operation_xyz
'x,y,z'
'-x,-y,-z'
'-x,y,-z+1/2'
'x,-y,z+1/2'
'x+1/2,y+1/2,z'
'-x+1/2,-y+1/2,-z'
'-x+1/2,y+1/2,-z+1/2'
'x+1/2,-y+1/2,z+1/2'
loop_
_atom_site_label
_atom_site_type_symbol
_atom_site_fract_x
_atom_site_fract_y
_atom_site_fract_z
Te1 Te 0.000 0.134 0.250
H1 H 0.186 0.447 0.129
H2 H 0.197 0.309 0.155
Au1 Au 0.000 0.378 0.750
```